(1)
# Ba3Mg4Ge4 PBE relaxed
# **Energy relative to the elements**: -460 meV/atom
# **Crystal system**: orthorhombic
data_Ba3Mg4Ge4
_symmetry_space_group_name_H-M 'I m m m'
_symmetry_Int_Tables_number 71
_symmetry_space_group_name_Hall '-I 2 2'
_cell_length_a 4.929
_cell_length_b 7.555
_cell_length_c 15.958
_cell_angle_alpha 90.00
_cell_angle_beta 90.00
_cell_angle_gamma 90.00
loop_
_atom_site_label
_atom_site_type_symbol
_atom_site_fract_x
_atom_site_fract_y
_atom_site_fract_z
Ba1 Ba 0.000 0.000 0.000
Ba2 Ba 0.000 0.500 0.121
Mg1 Mg 0.000 0.299 0.330
Ge1 Ge 0.000 0.000 0.218
Ge2 Ge 0.000 0.176 0.500

***

(2)
# Tb4Zn2Ni PBE relaxed
# **Energy relative to the elements**: -207 meV/atom
# **Crystal system**: tetragonal
data_Tb4Zn2Ni
_symmetry_space_group_name_H-M 'I 4/m m m'
_symmetry_Int_Tables_number 139
_symmetry_space_group_name_Hall '-I 4 2'
_cell_length_a 6.984
_cell_length_b 6.984
_cell_length_c 6.995
_cell_angle_alpha 90.00
_cell_angle_beta 90.00
_cell_angle_gamma 90.00
loop_
_atom_site_label
_atom_site_type_symbol
_atom_site_fract_x
_atom_site_fract_y
_atom_site_fract_z
Tb1 Tb 0.250 0.250 0.250
Zn1 Zn 0.000 0.500 0.000
Ni1 Ni 0.000 0.000 0.000

***

(3)
# Sc4AlCu2Ag PBE relaxed
# **Energy relative to the elements**: -300 meV/atom
# **Crystal system**: trigonal
data_Sc4AlCu2Ag
_symmetry_space_group_name_H-M 'R -3 m'
_symmetry_Int_Tables_number 166
_symmetry_space_group_name_Hall '-R 3 2"'
_cell_length_a 4.7213
_cell_length_b 4.7213
_cell_length_c 23.3252
_cell_angle_alpha 90.00
_cell_angle_beta 90.00
_cell_angle_gamma 120.00
loop_
_atom_site_label
_atom_site_type_symbol
_atom_site_fract_x
_atom_site_fract_y
_atom_site_fract_z
Sc1 Sc 0.0000 0.0000 0.1245
Sc2 Sc 0.0000 0.0000 0.3754
Al1 Al 0.0000 0.0000 0.5000
Cu1 Cu 0.0000 0.0000 0.2443
Ag1 Ag 0.0000 0.0000 0.0000

***

(4)
# BiPH3 PBE relaxed
# **Calculated total energy**: -14.20 eV for the cell shown
# **Crystal system**: cubic
data_BiPH3
_symmetry_space_group_name_H-M 'P m -3 m'
_symmetry_Int_Tables_number 221
_symmetry_space_group_name_Hall '-P 4 2 3'
_cell_length_a 4.137
_cell_length_b 4.137
_cell_length_c 4.137
_cell_angle_alpha 90.00
_cell_angle_beta 90.00
_cell_angle_gamma 90.00
loop_
_atom_site_label
_atom_site_type_symbol
_atom_site_fract_x
_atom_site_fract_y
_atom_site_fract_z
Bi1 Bi 0.000 0.000 0.000
P1 P 0.500 0.500 0.500
H1 H 0.000 0.000 0.500

***

(5)
# BaAl2Tl2 PBE relaxed
# **Energy relative to the elements**: -118 meV/atom
# **Crystal system**: tetragonal
data_BaAl2Tl2
_symmetry_space_group_name_H-M 'I 4/m m m'
_symmetry_Int_Tables_number 139
_symmetry_space_group_name_Hall '-I 4 2'
_cell_length_a 4.865
_cell_length_b 4.865
_cell_length_c 12.023
_cell_angle_alpha 90.00
_cell_angle_beta 90.00
_cell_angle_gamma 90.00
loop_
_atom_site_label
_atom_site_type_symbol
_atom_site_fract_x
_atom_site_fract_y
_atom_site_fract_z
Ba1 Ba 0.000 0.000 0.000
Al1 Al 0.000 0.500 0.250
Tl1 Tl 0.000 0.000 0.374

***

(6)
# Ac2Ge3Au PBE relaxed
# **Energy relative to the elements**: -734 meV/atom
# **Crystal system**: orthorhombic
data_Ac2Ge3Au
_symmetry_space_group_name_H-M 'P m m 2'
_symmetry_Int_Tables_number 25
_cell_length_a 4.482
_cell_length_b 4.624
_cell_length_c 7.564
_cell_angle_alpha 90.00
_cell_angle_beta 90.00
_cell_angle_gamma 90.00
loop_
_symmetry_equiv_pos_as_xyz
'x,y,z'
'-x,-y,z'
'-x,y,z'
'x,-y,z'
loop_
_atom_site_label
_atom_site_type_symbol
_atom_site_fract_x
_atom_site_fract_y
_atom_site_fract_z
Ac1 Ac 0.000 0.000 0.000
Ac2 Ac 0.000 0.500 0.492
Ge1 Ge 0.500 0.000 0.326
Ge2 Ge 0.500 0.000 0.664
Ge3 Ge 0.500 0.500 0.170
Au1 Au 0.500 0.500 0.829

***

(7)
# CaVB2W PBE relaxed
# **Energy relative to the elements**: 1838 meV/atom
# **Crystal system**: tetragonal
data_CaVB2W
_symmetry_space_group_name_H-M 'P 4/m m m'
_symmetry_Int_Tables_number 123
_symmetry_space_group_name_Hall '-P 4 2'
_cell_length_a 4.255
_cell_length_b 4.255
_cell_length_c 4.972
_cell_angle_alpha 90.00
_cell_angle_beta 90.00
_cell_angle_gamma 90.00
loop_
_atom_site_label
_atom_site_type_symbol
_atom_site_fract_x
_atom_site_fract_y
_atom_site_fract_z
Ca1 Ca 0.000 0.000 0.000
V1 V 0.500 0.500 0.000
B1 B 0.000 0.500 0.500
W1 W 0.000 0.000 0.500

***

(8)
# AlInSb2Te PBE relaxed
# **Crystal system**: tetragonal
# **Uncorrected formation energy**: 755.4 meV/atom
data_AlInSb2Te
_symmetry_space_group_name_H-M 'P 4/m m m'
_symmetry_Int_Tables_number 123
_symmetry_space_group_name_Hall '-P 4 2'
_cell_length_a 5.605
_cell_length_b 5.605
_cell_length_c 5.780
_cell_angle_alpha 90.00
_cell_angle_beta 90.00
_cell_angle_gamma 90.00
loop_
_atom_site_label
_atom_site_type_symbol
_atom_site_fract_x
_atom_site_fract_y
_atom_site_fract_z
Al1 Al 0.000 0.000 0.000
In1 In 0.500 0.500 0.500
Sb1 Sb 0.000 0.500 0.500
Te1 Te 0.500 0.500 0.000

***

(9)
# RbCrH2 PBE relaxed
# **Calculated total energy**: -54.98 eV for the cell shown
# **Crystal system**: cubic
data_RbCrH2
_symmetry_space_group_name_H-M 'F m -3 m'
_symmetry_Int_Tables_number 225
_symmetry_space_group_name_Hall '-F 4 2 3'
_cell_length_a 6.543
_cell_length_b 6.543
_cell_length_c 6.543
_cell_angle_alpha 90.00
_cell_angle_beta 90.00
_cell_angle_gamma 90.00
loop_
_atom_site_label
_atom_site_type_symbol
_atom_site_fract_x
_atom_site_fract_y
_atom_site_fract_z
Rb1 Rb 0.000 0.000 0.000
Cr1 Cr 0.000 0.000 0.500
H1 H 0.250 0.250 0.250

***

(10)
# PmPr2Zn PBE relaxed
# **Energy relative to the elements**: -142 meV/atom
# **Crystal system**: tetragonal
data_PmPr2Zn
_symmetry_space_group_name_H-M 'P 4/m m m'
_symmetry_Int_Tables_number 123
_symmetry_space_group_name_Hall '-P 4 2'
_cell_length_a 3.710
_cell_length_b 3.710
_cell_length_c 8.885
_cell_angle_alpha 90.00
_cell_angle_beta 90.00
_cell_angle_gamma 90.00
loop_
_atom_site_label
_atom_site_type_symbol
_atom_site_fract_x
_atom_site_fract_y
_atom_site_fract_z
Pm1 Pm 0.000 0.000 0.000
Pr1 Pr 0.500 0.500 0.291
Zn1 Zn 0.000 0.000 0.500

***

(11)
# Sm5Sn10Rh4 PBE relaxed
# **Energy relative to the elements**: -727 meV/atom
# **Crystal system**: tetragonal
data_Sm5Sn10Rh4
_symmetry_space_group_name_H-M 'P 4/m b m'
_symmetry_Int_Tables_number 127
_symmetry_space_group_name_Hall '-P 4 2ab'
_cell_length_a 14.110
_cell_length_b 14.110
_cell_length_c 4.607
_cell_angle_alpha 90.00
_cell_angle_beta 90.00
_cell_angle_gamma 90.00
loop_
_atom_site_label
_atom_site_type_symbol
_atom_site_fract_x
_atom_site_fract_y
_atom_site_fract_z
Sm1 Sm 0.000 0.000 0.000
Sm2 Sm 0.111 0.389 0.500
Sm3 Sm 0.177 0.677 0.500
Sn1 Sn 0.004 0.837 0.500
Sn2 Sn 0.070 0.570 0.000
Sn3 Sn 0.155 0.199 0.000
Rh1 Rh 0.028 0.754 0.000

***

(12)
# GeP2NCl PBE relaxed
# **Crystal system**: tetragonal
# **Uncorrected formation energy**: 811.0 meV/atom
data_GeP2NCl
_symmetry_space_group_name_H-M 'P 4/m m m'
_symmetry_Int_Tables_number 123
_symmetry_space_group_name_Hall '-P 4 2'
_cell_length_a 3.810
_cell_length_b 3.810
_cell_length_c 6.106
_cell_angle_alpha 90.00
_cell_angle_beta 90.00
_cell_angle_gamma 90.00
loop_
_atom_site_label
_atom_site_type_symbol
_atom_site_fract_x
_atom_site_fract_y
_atom_site_fract_z
Ge1 Ge 0.000 0.000 0.000
P1 P 0.000 0.500 0.500
N1 N 0.500 0.500 0.500
Cl1 Cl 0.500 0.500 0.000

***

(13)
# Mn2CrRu2 PBE relaxed
# **Energy relative to the elements**: 351 meV/atom
# **Crystal system**: tetragonal
data_Mn2CrRu2
_symmetry_space_group_name_H-M 'P 4/m b m'
_symmetry_Int_Tables_number 127
_symmetry_space_group_name_Hall '-P 4 2ab'
_cell_length_a 7.027
_cell_length_b 7.027
_cell_length_c 2.637
_cell_angle_alpha 90.00
_cell_angle_beta 90.00
_cell_angle_gamma 90.00
loop_
_atom_site_label
_atom_site_type_symbol
_atom_site_fract_x
_atom_site_fract_y
_atom_site_fract_z
Mn1 Mn 0.168 0.332 0.000
Cr1 Cr 0.000 0.000 0.500
Ru1 Ru 0.130 0.630 0.500

***

(14)
# CaTi3Pt PBE relaxed
# **Energy relative to the elements**: 1535 meV/atom
# **Crystal system**: cubic
data_CaTi3Pt
_symmetry_space_group_name_H-M 'P m -3 m'
_symmetry_Int_Tables_number 221
_symmetry_space_group_name_Hall '-P 4 2 3'
_cell_length_a 4.476
_cell_length_b 4.476
_cell_length_c 4.476
_cell_angle_alpha 90.00
_cell_angle_beta 90.00
_cell_angle_gamma 90.00
loop_
_atom_site_label
_atom_site_type_symbol
_atom_site_fract_x
_atom_site_fract_y
_atom_site_fract_z
Ca1 Ca 0.000 0.000 0.000
Ti1 Ti 0.000 0.000 0.500
Pt1 Pt 0.500 0.500 0.500

***

(15)
# Tl2TcPb PBE relaxed
# **Energy relative to the elements**: 612 meV/atom
# **Crystal system**: monoclinic
data_Tl2TcPb
_symmetry_space_group_name_H-M 'P 1 m 1'
_symmetry_Int_Tables_number 6
_cell_length_a 3.710
_cell_length_b 4.481
_cell_length_c 6.046
_cell_angle_alpha 90.00
_cell_angle_beta 107.60
_cell_angle_gamma 90.00
loop_
_symmetry_equiv_pos_as_xyz
'x,y,z'
'x,-y,z'
loop_
_atom_site_label
_atom_site_type_symbol
_atom_site_fract_x
_atom_site_fract_y
_atom_site_fract_z
Tl1 Tl 0.000 0.000 0.000
Tl2 Tl 0.404 0.500 0.807
Tc1 Tc 0.246 0.000 0.503
Pb1 Pb 0.678 0.500 0.359

***

(16)
# TbScW4 PBE relaxed
# **Energy relative to the elements**: 117 meV/atom
# **Crystal system**: cubic
data_TbScW4
_symmetry_space_group_name_H-M 'F -4 3 m'
_symmetry_Int_Tables_number 216
_symmetry_space_group_name_Hall 'F -4 2 3'
_cell_length_a 7.753
_cell_length_b 7.753
_cell_length_c 7.753
_cell_angle_alpha 90.00
_cell_angle_beta 90.00
_cell_angle_gamma 90.00
loop_
_atom_site_label
_atom_site_type_symbol
_atom_site_fract_x
_atom_site_fract_y
_atom_site_fract_z
Tb1 Tb 0.000 0.000 0.000
Sc1 Sc 0.250 0.250 0.750
W1 W 0.125 0.125 0.375